## 1
Compound: HoLu2Hf
Source: the Alexandria database
Functional: GGA-PBE
Structure: relaxed

Cell lengths 5.3958, 5.3958, 5.3958 Å; angles 60.00, 60.00, 60.00 degrees
With the nearest neighbours (Å) after each atom.
Positions (direct):
Ho (0.0000, 0.0000, 0.0000)  8 Lu 3.30
Lu (0.2500, 0.2500, 0.2500)  4 Hf 3.30, 4 Ho 3.30
Lu (0.7500, 0.7500, 0.7500)  4 Hf 3.30, 4 Ho 3.30
Hf (0.5000, 0.5000, 0.5000)  8 Lu 3.30

Properties
density of states at the Fermi level	9.21	states/eV/cell


## 2
Compound: HoLu2Hf
Source: the Alexandria database
Functional: GGA-PBE
Structure: relaxed

Cell lengths 4.7746, 4.7746, 4.7814 Å; angles 90.00, 90.00, 90.00 degrees
With the nearest neighbours (Å) after each atom.
Positions (direct):
Ho (0.0000, 0.0000, 0.0000)  4 Hf 3.38, 8 Lu 3.38
Lu (0.0000, 0.5000, 0.5000)  4 Lu 3.38, 4 Hf 3.38, 4 Ho 3.38
Lu (0.5000, 0.0000, 0.5000)  4 Lu 3.38, 4 Hf 3.38, 4 Ho 3.38
Hf (0.5000, 0.5000, 0.0000)  4 Ho 3.38, 8 Lu 3.38

Properties
density of states at the Fermi level	5.65	states/eV/cell


Which of them is most stable? Easy: 2.


## 1
Compound: TbDyGa
Source: the Alexandria database
Functional: GGA-PBE
Structure: relaxed

Cell lengths 3.5975, 3.5975, 14.8120 Å; angles 90.00, 90.00, 120.00 degrees
With the nearest neighbours (Å) after each atom.
Positions (direct):
Tb (0.3333, 0.6667, 0.4031)  9 Tb 3.54-3.60, 3 Dy 3.58
Tb (0.6667, 0.3333, 0.5969)  9 Tb 3.54-3.60, 3 Dy 3.58
Dy (0.3333, 0.6667, 0.7936)  3 Ga 3.04
Dy (0.6667, 0.3333, 0.2064)  3 Ga 3.04
Ga (0.3333, 0.6667, 0.0567)  3 Ga 2.67
Ga (0.6667, 0.3333, 0.9433)  3 Ga 2.67

Properties
density of states at the Fermi level	6.82	states/eV/cell


## 2
Compound: TbDyGa
Source: the Alexandria database
Functional: GGA-PBE
Structure: relaxed

Cell lengths 3.6750, 5.1581, 8.4086 Å; angles 90.00, 102.62, 90.00 degrees
With the nearest neighbours (Å) after each atom.
Positions (direct):
Tb (0.0762, 0.2500, 0.1533)  6 Ga 3.12-3.17
Tb (0.9238, 0.7500, 0.8467)  6 Ga 3.12-3.17
Dy (0.2225, 0.7500, 0.4451)  2 Ga 3.01, 4 Dy 3.29
Dy (0.7775, 0.2500, 0.5549)  2 Ga 3.01, 4 Dy 3.29
Ga (0.4233, 0.2500, 0.8460)  2 Dy 3.01, 6 Tb 3.12-3.17
Ga (0.5767, 0.7500, 0.1540)  2 Dy 3.01, 6 Tb 3.12-3.17

Properties
density of states at the Fermi level	4.81	states/eV/cell


Which of them is most stable? Easy: 2.


## 1
Compound: LiTa2Ag
Source: the Alexandria database
Functional: GGA-PBE
Structure: relaxed

Cell lengths 2.8053, 2.8053, 9.3495 Å; angles 90.00, 90.00, 104.86 degrees
With the nearest neighbours (Å) after each atom.
Positions (direct):
Li (0.0000, 0.0000, 0.0000)  2 Ag 2.78, 4 Li 2.81, 2 Ta 3.06
Ta (0.0000, 0.0000, 0.4896)  6 Ta 2.81-2.82, 2 Ag 2.94
Ta (0.5000, 0.5000, 0.7293)  6 Ta 2.81-2.82, 2 Li 3.06
Ag (0.5000, 0.5000, 0.2340)  2 Li 2.78, 4 Ag 2.81, 2 Ta 2.94

Properties
density of states at the Fermi level	2.96	states/eV/cell


## 2
Compound: LiTa2Ag
Source: the Alexandria database
Functional: GGA-PBE
Structure: relaxed

Cell lengths 2.7293, 2.7293, 10.2631 Å; angles 90.00, 90.00, 110.91 degrees
With the nearest neighbours (Å) after each atom.
Positions (direct):
Li (0.0000, 0.0000, 0.0000)  4 Li 2.73, 4 Ta 3.02
Ta (0.5000, 0.5000, 0.2530)  4 Ta 2.73, 2 Ag 2.97, 2 Li 3.02
Ta (0.5000, 0.5000, 0.7470)  4 Ta 2.73, 2 Ag 2.97, 2 Li 3.02
Ag (0.0000, 0.0000, 0.5000)  4 Ag 2.73, 4 Ta 2.97

Properties
density of states at the Fermi level	3.17	states/eV/cell


Which of them is most stable? Easy: 1.


## 1
Compound: CoW3
Source: the Alexandria database
Functional: GGA-PBE
Structure: relaxed

Cell lengths 4.8532, 4.8532, 2.7327 Å; angles 90.00, 90.00, 110.94 degrees
With the nearest neighbours (Å) after each atom.
Positions (direct):
Co (0.0000, 0.0000, 0.0000)  2 Co 2.73, 10 W 2.75-2.78
W (0.0000, 0.5000, 0.5000)  8 W 2.73-2.78, 4 Co 2.78
W (0.5000, 0.0000, 0.5000)  8 W 2.73-2.78, 4 Co 2.78
W (0.5000, 0.5000, 0.0000)  10 W 2.73-2.78, 2 Co 2.75

Properties
density of states at the Fermi level	4.21	states/eV/cell


## 2
Compound: CoW3
Source: the Alexandria database
Functional: GGA-PBE
Structure: relaxed

Cell lengths 5.5200, 5.5200, 9.0130 Å; angles 90.00, 90.00, 120.00 degrees
With the nearest neighbours (Å) after each atom.
Positions (direct):
Co (0.0000, 0.0000, 0.0000)  12 W 2.76
Co (0.0000, 0.0000, 0.5000)  12 W 2.76
Co (0.3333, 0.6667, 0.2500)  12 W 2.76
Co (0.6667, 0.3333, 0.7500)  12 W 2.76
W (0.0000, 0.5000, 0.0000)  4 Co 2.76, 8 W 2.76
W (0.0000, 0.5000, 0.5000)  4 Co 2.76, 8 W 2.76
W (0.1662, 0.3323, 0.7500)  8 W 2.75-2.77, 4 Co 2.76
W (0.1662, 0.8338, 0.7500)  8 W 2.75-2.77, 4 Co 2.76
W (0.3323, 0.1662, 0.2500)  8 W 2.75-2.77, 4 Co 2.76
W (0.5000, 0.0000, 0.0000)  4 Co 2.76, 8 W 2.76
W (0.5000, 0.0000, 0.5000)  4 Co 2.76, 8 W 2.76
W (0.5000, 0.5000, 0.0000)  4 Co 2.76, 8 W 2.76
W (0.5000, 0.5000, 0.5000)  4 Co 2.76, 8 W 2.76
W (0.6677, 0.8338, 0.7500)  8 W 2.75-2.77, 4 Co 2.76
W (0.8338, 0.1662, 0.2500)  8 W 2.75-2.77, 4 Co 2.76
W (0.8338, 0.6677, 0.2500)  8 W 2.75-2.77, 4 Co 2.76

Properties
density of states at the Fermi level	21.62	states/eV/cell


Which of them is most stable? Easy: 2.


## 1
Compound: LaRuN2F
Source: the Alexandria database
Functional: GGA-PBE
Structure: relaxed

Cell lengths 3.7982, 3.7982, 5.6650 Å; angles 90.00, 90.00, 90.00 degrees
With the nearest neighbours (Å) after each atom.
Positions (direct):
La (0.0000, 0.0000, 0.0000)  4 F 2.69, 2 Ru 2.83
Ru (0.0000, 0.0000, 0.5000)  4 N 1.90
N (0.0000, 0.5000, 0.5000)  2 Ru 1.90
N (0.5000, 0.0000, 0.5000)  2 Ru 1.90
F (0.5000, 0.5000, 0.0000)  4 La 2.69

Properties
density of states at the Fermi level	2.42	states/eV/cell


## 2
Compound: LaRuN2F
Source: the Alexandria database
Functional: GGA-PBE
Structure: relaxed

Cell lengths 3.9505, 3.9505, 4.2505 Å; angles 90.00, 90.00, 90.00 degrees
With the nearest neighbours (Å) after each atom.
Positions (direct):
La (0.0000, 0.0000, 0.0000)  4 F 2.79, 8 N 2.90
Ru (0.5000, 0.5000, 0.5000)  4 N 1.98, 2 F 2.13
N (0.0000, 0.5000, 0.5000)  2 Ru 1.98
N (0.5000, 0.0000, 0.5000)  2 Ru 1.98
F (0.5000, 0.5000, 0.0000)  2 Ru 2.13

Properties
density of states at the Fermi level	3.46	states/eV/cell


Which of them is most stable? Easy: 2.


## 1
Compound: Ba2Pd2Au
Source: the Alexandria database
Functional: GGA-PBE
Structure: relaxed

Cell lengths 5.9428, 5.9428, 5.9428 Å; angles 118.18, 118.18, 93.19 degrees
With the nearest neighbours (Å) after each atom.
Positions (direct):
Ba (0.2500, 0.7500, 0.5000)  4 Pd 3.14
Ba (0.7500, 0.2500, 0.5000)  4 Pd 3.14
Pd (0.1625, 0.1625, 0.0000)  1 Pd 2.65, 1 Au 2.76
Pd (0.8375, 0.8375, 0.0000)  1 Pd 2.65, 1 Au 2.76
Au (0.5000, 0.5000, 0.0000)  2 Pd 2.76

Properties
density of states at the Fermi level	1.99	states/eV/cell


## 2
Compound: Ba2Pd2Au
Source: the Alexandria database
Functional: GGA-PBE
Structure: relaxed

Cell lengths 7.9632, 7.9632, 4.4269 Å; angles 90.00, 90.00, 90.00 degrees
With the nearest neighbours (Å) after each atom.
Positions (direct):
Ba (0.1818, 0.3182, 0.0000)  6 Pd 3.13-3.31
Ba (0.3182, 0.8182, 0.0000)  6 Pd 3.13-3.31
Ba (0.6818, 0.1818, 0.0000)  6 Pd 3.13-3.31
Ba (0.8182, 0.6818, 0.0000)  6 Pd 3.13-3.31
Pd (0.1221, 0.6221, 0.5000)  1 Pd 2.75
Pd (0.3779, 0.1221, 0.5000)  1 Pd 2.75
Pd (0.6221, 0.8779, 0.5000)  1 Pd 2.75
Pd (0.8779, 0.3779, 0.5000)  1 Pd 2.75
Au (0.0000, 0.0000, 0.5000)  4 Pd 3.16
Au (0.5000, 0.5000, 0.5000)  4 Pd 3.16

Properties
density of states at the Fermi level	5.44	states/eV/cell


Which of them is most stable? Easy: 2.